[1]
# PBE Y4C3, optimized geometry
data_Y4C3
_chemical_formula_sum 'Y4 C3'
_cell_length_a 5.462
_cell_length_b 5.462
_cell_length_c 5.462
_cell_angle_alpha 90.00
_cell_angle_beta 90.00
_cell_angle_gamma 90.00
_symmetry_space_group_name_H-M 'P -4 3 m'
_symmetry_Int_Tables_number 215
_symmetry_space_group_name_Hall 'P -4 2 3'
loop_
_atom_site_label
_atom_site_fract_x
_atom_site_fract_y
_atom_site_fract_z
Y1 0.240 0.240 0.240
C1 0.000 0.000 0.500
# ΔE to the lowest computed polymorph: 434.2 meV per atom
# formation energy: 0.2046 eV/atom

***

[2]
# PBE LiCaIr2, optimized geometry
data_LiCaIr2
_chemical_formula_sum 'Li1 Ca1 Ir2'
_cell_length_a 3.883
_cell_length_b 3.883
_cell_length_c 4.405
_cell_angle_alpha 90.00
_cell_angle_beta 90.00
_cell_angle_gamma 90.00
_symmetry_space_group_name_H-M 'P 4/m m m'
_symmetry_Int_Tables_number 123
_symmetry_space_group_name_Hall '-P 4 2'
loop_
_atom_site_label
_atom_site_fract_x
_atom_site_fract_y
_atom_site_fract_z
Li1 0.000 0.000 0.000
Ca1 0.500 0.500 0.000
Ir1 0.000 0.500 0.500
# ΔE to the lowest computed polymorph: 111.2 meV per atom
# formation energy: -0.0136 eV/atom

***

[3]
# PBE Rb2Al2Si3O10, optimized geometry
data_Rb2Al2Si3O10
_chemical_formula_sum 'Rb16 Al16 Si24 O80'
_cell_length_a 17.799
_cell_length_b 19.212
_cell_length_c 6.594
_cell_angle_alpha 90.00
_cell_angle_beta 90.00
_cell_angle_gamma 90.00
_symmetry_space_group_name_H-M 'F d d 2'
_symmetry_Int_Tables_number 43
_symmetry_space_group_name_Hall 'F 2 -2d'
loop_
_atom_site_label
_atom_site_fract_x
_atom_site_fract_y
_atom_site_fract_z
Rb1 0.034 0.191 0.000
Al1 0.040 0.092 0.474
Si1 0.000 0.000 0.857
Si2 0.100 0.466 0.732
O1 0.012 0.070 0.723
O2 0.038 0.411 0.810
O3 0.067 0.180 0.464
O4 0.076 0.491 0.498
O5 0.109 0.035 0.378
# E_form (uncorrected): -2795 meV per atom

***

[4]
# PBE CoTe2Ir, optimized geometry
data_CoTe2Ir
_chemical_formula_sum 'Co2 Te4 Ir2'
_cell_length_a 3.057
_cell_length_b 4.834
_cell_length_c 10.101
_cell_angle_alpha 90.00
_cell_angle_beta 90.00
_cell_angle_gamma 90.00
_symmetry_space_group_name_H-M 'I m m 2'
_symmetry_Int_Tables_number 44
loop_
_symmetry_equiv_pos_as_xyz
'x,y,z'
'-x,-y,z'
'-x,y,z'
'x,-y,z'
'x+1/2,y+1/2,z+1/2'
'-x+1/2,-y+1/2,z+1/2'
'-x+1/2,y+1/2,z+1/2'
'x+1/2,-y+1/2,z+1/2'
loop_
_atom_site_label
_atom_site_fract_x
_atom_site_fract_y
_atom_site_fract_z
Co1 0.000 0.000 0.000
Te1 0.000 0.000 0.471
Te2 0.000 0.500 0.270
Ir1 0.000 0.500 0.728
# ΔE to the lowest computed polymorph: 505.9 meV per atom
# E_form (uncorrected): 535 meV per atom

***

[5]
# PBE CrAg4Br, optimized geometry
data_CrAg4Br
_chemical_formula_sum 'Cr4 Ag16 Br4'
_cell_length_a 7.924
_cell_length_b 7.924
_cell_length_c 7.924
_cell_angle_alpha 90.00
_cell_angle_beta 90.00
_cell_angle_gamma 90.00
_symmetry_space_group_name_H-M 'F -4 3 m'
_symmetry_Int_Tables_number 216
_symmetry_space_group_name_Hall 'F -4 2 3'
loop_
_atom_site_label
_atom_site_fract_x
_atom_site_fract_y
_atom_site_fract_z
Cr1 0.000 0.000 0.000
Ag1 0.125 0.125 0.625
Br1 0.250 0.250 0.250
# E_form (uncorrected): 368 meV per atom

***

[6]
# PBE InRuO4, optimized geometry
data_InRuO4
_chemical_formula_sum 'In2 Ru2 O8'
_cell_length_a 5.750
_cell_length_b 4.794
_cell_length_c 5.620
_cell_angle_alpha 90.00
_cell_angle_beta 109.84
_cell_angle_gamma 90.00
_symmetry_space_group_name_H-M 'P 1 21/c 1'
_symmetry_Int_Tables_number 14
loop_
_symmetry_equiv_pos_as_xyz
'x,y,z'
'-x,-y,-z'
'-x,y+1/2,-z+1/2'
'x,-y+1/2,z+1/2'
loop_
_atom_site_label
_atom_site_fract_x
_atom_site_fract_y
_atom_site_fract_z
In1 0.000 0.000 0.000
Ru1 0.500 0.000 0.500
O1 0.172 0.165 0.374
O2 0.374 0.715 0.676
# ΔE to the lowest computed polymorph: 0.0 meV per atom
# E_form (uncorrected): -1101 meV per atom

***

[7]
# PBE La3InRu, optimized geometry
data_La3InRu
_chemical_formula_sum 'La3 In1 Ru1'
_cell_length_a 4.755
_cell_length_b 4.755
_cell_length_c 8.433
_cell_angle_alpha 90.00
_cell_angle_beta 90.00
_cell_angle_gamma 90.00
_symmetry_space_group_name_H-M 'P 4 m m'
_symmetry_Int_Tables_number 99
loop_
_symmetry_equiv_pos_as_xyz
'x,y,z'
'-y,x,z'
'-x,-y,z'
'y,-x,z'
'-x,y,z'
'y,x,z'
'x,-y,z'
'-y,-x,z'
loop_
_atom_site_label
_atom_site_fract_x
_atom_site_fract_y
_atom_site_fract_z
La1 0.000 0.000 0.000
La2 0.000 0.500 0.665
In1 0.000 0.000 0.383
Ru1 0.500 0.500 0.848
# ΔE to the lowest computed polymorph: 635.6 meV per atom
# formation energy: 0.2183 eV/atom

***

[8]
# PBE Mn2AgOs, optimized geometry
data_Mn2AgOs
_chemical_formula_sum 'Mn4 Ag2 Os2'
_cell_length_a 3.002
_cell_length_b 4.523
_cell_length_c 8.791
_cell_angle_alpha 90.00
_cell_angle_beta 90.00
_cell_angle_gamma 90.00
_symmetry_space_group_name_H-M 'C m m m'
_symmetry_Int_Tables_number 65
_symmetry_space_group_name_Hall '-C 2 2'
loop_
_atom_site_label
_atom_site_fract_x
_atom_site_fract_y
_atom_site_fract_z
Mn1 0.000 0.000 0.235
Ag1 0.000 0.500 0.500
Os1 0.000 0.500 0.000
# formation energy: 0.3716 eV/atom

***

[9]
# PBE LiScAu2, optimized geometry
data_LiScAu2
_chemical_formula_sum 'Li4 Sc4 Au8'
_cell_length_a 7.290
_cell_length_b 7.290
_cell_length_c 5.605
_cell_angle_alpha 90.00
_cell_angle_beta 90.00
_cell_angle_gamma 90.00
_symmetry_space_group_name_H-M 'I -4 2 d'
_symmetry_Int_Tables_number 122
_symmetry_space_group_name_Hall 'I -4 2bw'
loop_
_atom_site_label
_atom_site_fract_x
_atom_site_fract_y
_atom_site_fract_z
Li1 0.000 0.000 0.000
Sc1 0.000 0.000 0.500
Au1 0.221 0.250 0.125
# ΔE to the lowest computed polymorph: 328.3 meV per atom
# formation energy: -0.3612 eV/atom

***

[10]
# PBE Nd12Ni3Ru5, optimized geometry
data_Nd12Ni3Ru5
_chemical_formula_sum 'Nd96 Ni24 Ru40'
_cell_length_a 16.749
_cell_length_b 16.749
_cell_length_c 16.749
_cell_angle_alpha 90.00
_cell_angle_beta 90.00
_cell_angle_gamma 90.00
_symmetry_space_group_name_H-M 'I a -3 d'
_symmetry_Int_Tables_number 230
_symmetry_space_group_name_Hall '-I 4bd 2c 3'
loop_
_atom_site_label
_atom_site_fract_x
_atom_site_fract_y
_atom_site_fract_z
Nd1 0.025 0.066 0.651
Ni1 0.000 0.250 0.125
Ru1 0.000 0.000 0.000
Ru2 0.000 0.250 0.375
# formation energy: 0.1963 eV/atom

***

[11]
# PBE TbCdCuRh, optimized geometry
data_TbCdCuRh
_chemical_formula_sum 'Tb4 Cd4 Cu4 Rh4'
_cell_length_a 6.695
_cell_length_b 6.695
_cell_length_c 6.695
_cell_angle_alpha 90.00
_cell_angle_beta 90.00
_cell_angle_gamma 90.00
_symmetry_space_group_name_H-M 'F -4 3 m'
_symmetry_Int_Tables_number 216
_symmetry_space_group_name_Hall 'F -4 2 3'
loop_
_atom_site_label
_atom_site_fract_x
_atom_site_fract_y
_atom_site_fract_z
Tb1 0.000 0.000 0.000
Cd1 0.000 0.000 0.500
Cu1 0.250 0.250 0.250
Rh1 0.250 0.250 0.750
# formation energy: -0.3518 eV/atom

***

[12]
# PBE K2CaAlTe4, optimized geometry
data_K2CaAlTe4
_chemical_formula_sum 'K4 Ca2 Al2 Te8'
_cell_length_a 8.427
_cell_length_b 8.427
_cell_length_c 7.894
_cell_angle_alpha 90.00
_cell_angle_beta 90.00
_cell_angle_gamma 90.00
_symmetry_space_group_name_H-M 'I -4 2 m'
_symmetry_Int_Tables_number 121
_symmetry_space_group_name_Hall 'I -4 2'
loop_
_atom_site_label
_atom_site_fract_x
_atom_site_fract_y
_atom_site_fract_z
K1 0.000 0.500 0.000
Ca1 0.000 0.000 0.000
Al1 0.000 0.000 0.500
Te1 0.176 0.176 0.291
# E_form (uncorrected): -889 meV per atom

***

| no. | total DFT energy (no corrections) (eV per atom) |
| --- | --- |
| 1 | -7.44 |
| 2 | -5.42 |
| 3 | -7.22 |
| 4 | -5.03 |
| 5 | -3.42 |
| 6 | -6.41 |
| 7 | -5.14 |
| 8 | -7.73 |
| 9 | -4.06 |
| 10 | -5.85 |
| 11 | -4.60 |
| 12 | -3.45 |